Below is a relaxed KCuHgO2 crystal, with properties calculated at the PBE-GGA level.

The structure in CIF format:
```
data_KCuHgO2
_symmetry_space_group_name_H-M 'P 1'
_symmetry_Int_Tables_number 1
_cell_length_a 4.3619
_cell_length_b 6.9405
_cell_length_c 7.1858
_cell_angle_alpha 118.88
_cell_angle_beta 90.00
_cell_angle_gamma 90.00
loop_
_symmetry_equiv_pos_as_xyz
'x,y,z'
loop_
_atom_site_label
_atom_site_type_symbol
_atom_site_fract_x
_atom_site_fract_y
_atom_site_fract_z
_atom_site_occupancy
Cu1 Cu 0.0000 0.5000 0.0000 1
Cu2 Cu 0.0000 0.0000 0.0000 1
K1 K 0.7580 0.2500 0.5000 1
K2 K 0.2420 0.7500 0.5000 1
O1 O 0.2786 0.3914 0.7829 1
O2 O 0.2786 0.1086 0.2171 1
O3 O 0.7214 0.8914 0.7829 1
O4 O 0.7214 0.6086 0.2171 1
Hg1 Hg 0.5000 0.2500 0.0000 1
Hg2 Hg 0.5000 0.7500 0.0000 1
```

Output
Electronic total energy (eV/cell): -37.6
Formation energy (no corrections) (eV/atom): -0.6812


Below is a relaxed UTl3Te6Pb2 crystal, with properties calculated at the PBE-GGA level.

The structure in CIF format:
```
data_UTl3Te6Pb2
_symmetry_space_group_name_H-M 'P 1'
_symmetry_Int_Tables_number 1
_cell_length_a 7.9680
_cell_length_b 7.9680
_cell_length_c 8.3786
_cell_angle_alpha 99.10
_cell_angle_beta 99.10
_cell_angle_gamma 119.66
loop_
_symmetry_equiv_pos_as_xyz
'x,y,z'
loop_
_atom_site_label
_atom_site_type_symbol
_atom_site_fract_x
_atom_site_fract_y
_atom_site_fract_z
_atom_site_occupancy
Te1 Te 0.9282 0.6196 0.7833 1
Te2 Te 0.0718 0.3804 0.2167 1
Te3 Te 0.3804 0.0718 0.2167 1
Te4 Te 0.7677 0.7677 0.2237 1
Te5 Te 0.6196 0.9282 0.7833 1
Te6 Te 0.2323 0.2323 0.7763 1
Tl1 Tl 0.5000 0.5000 0.5000 1
Tl2 Tl 0.1707 0.8293 0.5000 1
Tl3 Tl 0.8293 0.1707 0.5000 1
Pb1 Pb 0.3341 0.6659 0.0000 1
Pb2 Pb 0.6659 0.3341 0.0000 1
U1 U 0.0000 0.0000 0.0000 1
```

Output
Electronic total energy (eV/cell): -50.2
Formation energy (no corrections) (eV/atom): -0.4657
DOS at the Fermi energy (states/eV per cell): 0.567


Below is a relaxed SrMgCd2In4 crystal, with properties calculated at the PBE-GGA level.

The structure in CIF format:
```
data_SrMgCd2In4
_symmetry_space_group_name_H-M 'P 1'
_symmetry_Int_Tables_number 1
_cell_length_a 5.1023
_cell_length_b 5.1023
_cell_length_c 9.9991
_cell_angle_alpha 75.22
_cell_angle_beta 75.22
_cell_angle_gamma 60.00
loop_
_symmetry_equiv_pos_as_xyz
'x,y,z'
loop_
_atom_site_label
_atom_site_type_symbol
_atom_site_fract_x
_atom_site_fract_y
_atom_site_fract_z
_atom_site_occupancy
Cd1 Cd 0.2562 0.2562 0.2313 1
Cd2 Cd 0.7438 0.7438 0.7687 1
In1 In 0.8701 0.8701 0.3897 1
In2 In 0.6061 0.6061 0.1818 1
In3 In 0.3939 0.3939 0.8182 1
In4 In 0.1299 0.1299 0.6103 1
Sr1 Sr 0.0000 0.0000 0.0000 1
Mg1 Mg 0.5000 0.5000 0.5000 1
```

Output
Formation enthalpy at 0 K (eV per atom): -0.148
Electronic total energy (eV/cell): -17.2
DOS at the Fermi energy (states/eV per cell): 3.668


Below is a relaxed BaDyMgHg crystal, with properties calculated at the PBE-GGA level.

The structure in CIF format:
```
data_BaDyMgHg
_symmetry_space_group_name_H-M 'P 1'
_symmetry_Int_Tables_number 1
_cell_length_a 5.6472
_cell_length_b 5.6472
_cell_length_c 5.6472
_cell_angle_alpha 60.00
_cell_angle_beta 60.00
_cell_angle_gamma 60.00
loop_
_symmetry_equiv_pos_as_xyz
'x,y,z'
loop_
_atom_site_label
_atom_site_type_symbol
_atom_site_fract_x
_atom_site_fract_y
_atom_site_fract_z
_atom_site_occupancy
Ba1 Ba 0.7500 0.7500 0.7500 1
Dy1 Dy 0.2500 0.2500 0.2500 1
Mg1 Mg 0.0000 0.0000 0.0000 1
Hg1 Hg 0.5000 0.5000 0.5000 1
```

Output
Formation enthalpy at 0 K (eV per atom): -0.134
Electronic total energy (eV/cell): -9.0
DOS at the Fermi energy (states/eV per cell): 2.225


Below is a relaxed ZnPRu2 crystal, with properties calculated at the PBE-GGA level.

The structure in CIF format:
```
data_ZnPRu2
_symmetry_space_group_name_H-M 'P 1'
_symmetry_Int_Tables_number 1
_cell_length_a 3.5942
_cell_length_b 2.9311
_cell_length_c 5.4397
_cell_angle_alpha 75.40
_cell_angle_beta 90.00
_cell_angle_gamma 90.00
loop_
_symmetry_equiv_pos_as_xyz
'x,y,z'
loop_
_atom_site_label
_atom_site_type_symbol
_atom_site_fract_x
_atom_site_fract_y
_atom_site_fract_z
_atom_site_occupancy
Ru1 Ru 0.0000 0.8525 0.2735 1
Ru2 Ru 0.0000 0.1475 0.7265 1
P1 P 0.5000 0.5000 0.5000 1
Zn1 Zn 0.5000 0.5000 0.0000 1
```

Output
Formation enthalpy at 0 K (eV per atom): -0.195
Electronic total energy (eV/cell): -26.0
DOS at the Fermi energy (states/eV per cell): 2.124


Below is a relaxed Be2NbRe crystal, with properties calculated at the PBE-GGA level.

The structure in CIF format:
```
data_Be2NbRe
_symmetry_space_group_name_H-M 'P 1'
_symmetry_Int_Tables_number 1
_cell_length_a 4.1194
_cell_length_b 4.1194
_cell_length_c 4.1194
_cell_angle_alpha 60.00
_cell_angle_beta 60.00
_cell_angle_gamma 60.00
loop_
_symmetry_equiv_pos_as_xyz
'x,y,z'
loop_
_atom_site_label
_atom_site_type_symbol
_atom_site_fract_x
_atom_site_fract_y
_atom_site_fract_z
_atom_site_occupancy
Be1 Be 0.7500 0.7500 0.7500 1
Be2 Be 0.2500 0.2500 0.2500 1
Re1 Re 0.5000 0.5000 0.5000 1
Nb1 Nb 0.0000 0.0000 0.0000 1
```

Output
Formation enthalpy at 0 K (eV per atom): 0.042
Electronic total energy (eV/cell): -29.8
DOS at the Fermi energy (states/eV per cell): 4.096